# 1
Material: PHRuS2
Method: DFT, PBE-GGA
State: relaxed

Cell lengths 4.7296, 4.7296, 4.5077 Å; angles 90.00, 90.00, 90.00 degrees
Element x y z (fractional)
P1 0.0000 0.0000 0.0000
H1 0.5000 0.5000 0.0000
Ru1 0.0000 0.0000 0.5000
S1 0.0000 0.5000 0.5000
S2 0.5000 0.0000 0.5000

Summary:
total magnetization = 1.51 Bohr magnetons per cell
SG = P4/mmm
theoretical density = 3.25 g/cm3
energy above the lowest structure with this stoichiometry = 21.50 kJ per mole of atoms

# 2
Material: Nd14HoPu
Method: DFT, PBE-GGA
State: relaxed

Cell lengths 7.3143, 7.3143, 10.3130 Å; angles 90.00, 90.00, 90.00 degrees
Element x y z (fractional)
Nd1 0.0000 0.0000 0.0000
Nd2 0.0000 0.5000 0.0000
Nd3 0.0000 0.5000 0.5000
Nd4 0.2488 0.2488 0.2546
Nd5 0.2488 0.2488 0.7454
Nd6 0.2488 0.7512 0.2546
Nd7 0.2488 0.7512 0.7454
Nd8 0.5000 0.0000 0.0000
Nd9 0.5000 0.0000 0.5000
Nd10 0.5000 0.5000 0.0000
Nd11 0.7512 0.2488 0.2546
Nd12 0.7512 0.2488 0.7454
Nd13 0.7512 0.7512 0.2546
Nd14 0.7512 0.7512 0.7454
Ho1 0.5000 0.5000 0.5000
Pu1 0.0000 0.0000 0.5000

Summary:
total magnetization = 6.63 Bohr magnetons per cell
SG = P4/mmm
theoretical density = 7.31 g/cm3
energy relative to the elements = 0.042 eV/atom

# 3
Material: Os4RuRh
Method: DFT, PBE-GGA
State: relaxed

Cell lengths 5.0858, 5.0858, 5.0858 Å; angles 60.00, 60.00, 60.00 degrees
Element x y z (fractional)
Os1 0.1248 0.1248 0.1248
Os2 0.1248 0.1248 0.6257
Os3 0.1248 0.6257 0.1248
Os4 0.6257 0.1248 0.1248
Ru1 0.5000 0.5000 0.5000
Rh1 0.7500 0.7500 0.7500

Summary:
total magnetization = 0.00 Bohr magnetons per cell
SG = F-43m
theoretical density = 17.23 g/cm3
energy above the lowest structure with this stoichiometry = 72.07 kJ per mole of atoms
energy relative to the elements = 0.759 eV/atom

# 4
Material: BaNa3Hg2
Method: DFT, PBE-GGA
State: relaxed

Cell lengths 10.0555, 10.0555, 10.6842 Å; angles 122.07, 122.07, 27.42 degrees
Element x y z (fractional)
Ba1 0.1263 0.1263 0.1265
Ba2 0.8737 0.8737 0.8735
Na1 0.9997 0.9997 0.3478
Na2 0.0003 0.0003 0.6522
Na3 0.3328 0.3328 0.1420
Na4 0.3331 0.3331 0.5234
Na5 0.6669 0.6669 0.4766
Na6 0.6672 0.6672 0.8580
Hg1 0.2141 0.2141 0.7142
Hg2 0.4999 0.4999 0.1558
Hg3 0.5001 0.5001 0.8442
Hg4 0.7859 0.7859 0.2858

Summary:
total magnetization = 0.00 Bohr magnetons per cell
SG = C2/m
theoretical density = 4.84 g/cm3
energy above the lowest structure with this stoichiometry = 0.55 kJ per mole of atoms
energy relative to the elements = -0.247 eV/atom

# 5
Material: Rb2AcTmO4
Method: DFT, PBE-GGA
State: relaxed

Cell lengths 6.3832, 3.6649, 6.9377 Å; angles 90.00, 107.89, 90.00 degrees
Element x y z (fractional)
Rb1 0.0000 0.0000 0.0000
Rb2 0.5000 0.5000 0.0000
Ac1 0.0000 0.5000 0.5000
Tm1 0.5000 0.0000 0.5000
O1 0.2536 0.0000 0.6801
O2 0.2928 0.5000 0.3237
O3 0.7072 0.5000 0.6763
O4 0.7464 0.0000 0.3199

Summary:
total magnetization = 0.00 Bohr magnetons per cell
SG = P2/m
theoretical density = 6.78 g/cm3
raw formation energy = -2.586 eV/atom

# 6
Material: CeMgRh4
Method: DFT, PBE-GGA
State: relaxed

Cell lengths 5.2807, 5.2807, 5.2807 Å; angles 60.00, 60.00, 60.00 degrees
Element x y z (fractional)
Ce1 0.0000 0.0000 0.0000
Mg1 0.7500 0.7500 0.7500
Rh1 0.3757 0.3757 0.3757
Rh2 0.3757 0.3757 0.8729
Rh3 0.3757 0.8729 0.3757
Rh4 0.8729 0.3757 0.3757

Summary:
total magnetization = 0.00 Bohr magnetons per cell
SG = F-43m
theoretical density = 9.19 g/cm3
energy relative to the elements = -0.524 eV/atom